No. 1
YZnCl2 PBE-GGA optimized geometry; N(E_F) = 0.437 states/eV per atom; energy above the most stable polymorph in this dataset = 0.000 eV/f.u.; energy relative to the elements, uncorrected = -1.215 eV/atom; symmetry = Cm; total magnetization = 0.87 μB/f.u.
1.0
5.113 -0.040 -1.347
3.896 3.311 -1.347
0.156 0.057 6.654
Cl Zn Y
2 1 1
direct
0.137 0.137 0.953
0.808 0.808 0.614
0.033 0.033 0.286
0.523 0.523 0.647

No. 2
As3Cl PBE-GGA optimized geometry; N(E_F) = 0.496 states/eV per atom; energy above the most stable polymorph in this dataset = 0.395 eV/f.u.; energy relative to the elements, uncorrected = 0.106 eV/atom; symmetry = C2/m; total magnetization = 0.00 μB/f.u.
1.0
4.633 0.021 0.059
3.199 3.351 0.059
3.256 1.402 6.385
As Cl
3 1
direct
0.500 0.500 0.500
0.279 0.279 0.339
0.721 0.721 0.661
0.000 0.000 0.000

No. 3
AlNi8Rh2 PBE-GGA optimized geometry; N(E_F) = 1.516 states/eV per atom; symmetry = C2/m; energy relative to the elements = 1.48 kcal/mol of atoms; total magnetization = 5.79 μB/f.u.
1.0
-3.283 -0.462 2.865
2.685 -2.664 5.991
2.263 2.299 6.307
Rh Al Ni
2 1 8
direct
0.816 0.683 0.683
0.184 0.317 0.317
0.000 0.000 0.000
0.363 0.896 0.376
0.752 0.500 0.500
0.194 0.807 0.807
0.806 0.193 0.193
0.363 0.376 0.896
0.637 0.624 0.104
0.637 0.104 0.624
0.248 0.500 0.500

What is the formula in the third record?
AlNi8Rh2

What is the total magnetization in the first record?
0.87 μB/f.u.

Look up the total magnetization of the third one.
5.79 μB/f.u.

Please write out number 2 again, unchanged.
As3Cl PBE-GGA optimized geometry; N(E_F) = 0.496 states/eV per atom; energy above the most stable polymorph in this dataset = 0.395 eV/f.u.; energy relative to the elements, uncorrected = 0.106 eV/atom; symmetry = C2/m; total magnetization = 0.00 μB/f.u.
1.0
4.633 0.021 0.059
3.199 3.351 0.059
3.256 1.402 6.385
As Cl
3 1
direct
0.500 0.500 0.500
0.279 0.279 0.339
0.721 0.721 0.661
0.000 0.000 0.000